Material: AlCdIn
Method: DFT, GGA-PBE
State: optimized geometry Values from VASP.

Properties
Its density of states at the Fermi level is 2.54 states/eV per cell. Its space group is P4/nmm, No. 129. The calculation puts the formation energy at 0.136 eV per atom. Its total magnetic moment is 0.000 μB/f.u.

Quantum ESPRESSO input file:
```
&SYSTEM
  ibrav = 0, nat = 6, ntyp = 3
/
ATOMIC_SPECIES
Cd 112.41 Cd.upf
Al 26.98 Al.upf
In 114.82 In.upf
ATOMIC_POSITIONS crystal
Cd 0.000 0.500 0.774
Cd 0.500 0.000 0.226
Al 0.000 0.000 0.500
Al 0.500 0.500 0.500
In 0.000 0.500 0.193
In 0.500 0.000 0.807
CELL_PARAMETERS angstrom
-3.410 2.318 -1.818
-1.087 -3.575 -2.519
-4.215 -2.261 5.026
```

***

Material: HoTaSi2Ru
Method: DFT, GGA-PBE
State: optimized geometry Values from VASP.

Properties
Its density of states at the Fermi level is 2.74 states/eV per cell. Its space group is I-4m2, No. 119. Its total magnetic moment is 0.000 μB/f.u. As for the uncorrected formation energy: -663 meV/atom.

Quantum ESPRESSO input file:
```
&SYSTEM
  ibrav = 0, nat = 5, ntyp = 4
/
ATOMIC_SPECIES
Ho 164.93 Ho.upf
Ta 180.95 Ta.upf
Si 28.09 Si.upf
Ru 101.07 Ru.upf
ATOMIC_POSITIONS crystal
Ho 0.000 0.000 0.000
Ta 0.750 0.250 0.500
Si 0.608 0.608 0.216
Si 0.392 0.392 0.784
Ru 0.250 0.750 0.500
CELL_PARAMETERS angstrom
-1.465 3.272 -1.779
-2.638 -2.261 -1.986
-1.561 0.107 5.983
```

***

Material: Tb2Pm5
Method: DFT, GGA-PBE
State: optimized geometry Values from VASP.

Properties
Its density of states at the Fermi level is 24.13 states/eV per cell. As for the energy above the lowest structure with this stoichiometry: 0 meV per atom. Its space group is C2/c, No. 15. The calculation puts the formation energy at 0.027 eV per atom. Its total magnetic moment is 0.000 μB/f.u.

Quantum ESPRESSO input file:
```
&SYSTEM
  ibrav = 0, nat = 14, ntyp = 2
/
ATOMIC_SPECIES
Tb 158.93 Tb.upf
Pm 145.00 Pm.upf
ATOMIC_POSITIONS crystal
Tb 0.264 0.393 0.858
Tb 0.406 0.107 0.142
Tb 0.736 0.607 0.142
Tb 0.594 0.893 0.858
Pm 0.309 0.464 0.283
Pm 0.026 0.036 0.717
Pm 0.120 0.679 0.571
Pm 0.549 0.821 0.429
Pm 0.880 0.321 0.429
Pm 0.451 0.179 0.571
Pm 0.974 0.964 0.283
Pm 0.691 0.536 0.717
Pm 0.833 0.250 0.000
Pm 0.167 0.750 0.000
CELL_PARAMETERS angstrom
-2.246 2.130 -5.547
1.422 -8.444 -3.819
-6.362 -2.676 5.186
```

***

Material: SrTh4In5
Method: DFT, GGA-PBE
State: optimized geometry Values from VASP.

Properties
Its density of states at the Fermi level is 12.02 states/eV per cell. Its space group is P4/mmm, No. 123. The calculation puts the formation energy at -0.297 eV per atom. Its total magnetic moment is 0.000 μB/f.u.

Quantum ESPRESSO input file:
```
&SYSTEM
  ibrav = 0, nat = 10, ntyp = 3
/
ATOMIC_SPECIES
Sr 87.62 Sr.upf
Th 232.04 Th.upf
In 114.82 In.upf
ATOMIC_POSITIONS crystal
Sr 0.000 0.000 0.000
Th 0.000 0.000 0.204
Th 0.000 0.000 0.401
Th 0.000 0.000 0.599
Th 0.000 0.000 0.796
In 0.500 0.500 0.105
In 0.500 0.500 0.303
In 0.500 0.500 0.500
In 0.500 0.500 0.697
In 0.500 0.500 0.895
CELL_PARAMETERS angstrom
-0.126 3.474 -0.660
-1.810 0.504 2.999
20.081 2.935 11.625
```

***

no.,DFT total energy (eV/atom)
1,-2.33
2,-7.97
3,-4.69
4,-4.80